V3Mo4 | Alexandria | PBE | relaxed; energy relative to the lowest polymorph listed for this composition = 52 meV per atom; DFT total energy = -10.18 eV per atom
1.0
2.700 0.000 0.000
-0.933 2.544 0.000
-0.904 -1.238 15.119
V Mo
3 4
direct
0.000 0.000 0.000 V
0.283 0.283 0.567 V
0.717 0.717 0.433 V
0.146 0.146 0.292 Mo
0.429 0.429 0.858 Mo
0.571 0.571 0.142 Mo
0.854 0.854 0.708 Mo